{
  "formula": "BaSiPd3",
  "functional": "PBE",
  "state": "optimized geometry",
  "n_ef_per_ev_cell": 9.42,
  "relative_energy_ev_per_atom": 0.048,
  "total_energy_ev_per_atom": -5.197,
  "lattice_angstrom": [[-4.393, 3.169, -4.139], [-4.724, -7.345, -0.609], [-3.904, 1.795, 5.519]],
  "species": ["Si", "Si", "Si", "Si", "Pd", "Pd", "Pd", "Pd", "Pd", "Pd", "Pd", "Pd", "Pd", "Pd", "Pd", "Pd", "Ba", "Ba", "Ba", "Ba"],
  "frac_coords": [[0.443, 0.296, 0.104], [0.557, 0.704, 0.896], [0.057, 0.796, 0.604], [0.943, 0.204, 0.396], [0.840, 0.873, 0.935], [0.758, 0.186, 0.105], [0.423, 0.562, 0.171], [0.742, 0.686, 0.605], [0.160, 0.127, 0.065], [0.077, 0.062, 0.671], [0.923, 0.938, 0.329], [0.660, 0.373, 0.435], [0.577, 0.438, 0.829], [0.340, 0.627, 0.565], [0.242, 0.814, 0.895], [0.258, 0.314, 0.395], [0.557, 0.086, 0.713], [0.443, 0.914, 0.287], [0.943, 0.586, 0.213], [0.057, 0.414, 0.787]]
}